Here is an optimized crystal structure of PrDy3ErSc from Alexandria. Energies are from PBE-GGA.

- Uncorrected energy: -58.5 eV for the cell shown

Unit cell a=7.8558 b=7.8558 c=9.9970 alpha=90.00 beta=90.00 gamma=143.13
Positions (direct):
Pr (0.0029, 0.9971, 0.7500)
Pr (0.9971, 0.0029, 0.2500)
Dy (0.1678, 0.8322, 0.9999)
Dy (0.1678, 0.8322, 0.5001)
Dy (0.3302, 0.6698, 0.7500)
Dy (0.6698, 0.3302, 0.2500)
Dy (0.8322, 0.1678, 0.0001)
Dy (0.8322, 0.1678, 0.4999)
Er (0.5000, 0.5000, 0.0000)
Er (0.5000, 0.5000, 0.5000)
Sc (0.3314, 0.6686, 0.2500)
Sc (0.6686, 0.3314, 0.7500)

***

Here is an optimized crystal structure of Hf9Re4S from Alexandria. Energies are from PBE-GGA.

- Formation energy from raw total energies: -0.4394 eV/atom
- Uncorrected energy: -299.3 eV for the cell shown

Unit cell a=8.5991 b=8.5991 c=8.5378 alpha=90.00 beta=90.00 gamma=120.00
Positions (direct):
Hf (0.0915, 0.5458, 0.2500)
Hf (0.1942, 0.3883, 0.5545)
Hf (0.1942, 0.3883, 0.9455)
Hf (0.1942, 0.8058, 0.5545)
Hf (0.1942, 0.8058, 0.9455)
Hf (0.3883, 0.1942, 0.0545)
Hf (0.3883, 0.1942, 0.4455)
Hf (0.4542, 0.5458, 0.2500)
Hf (0.4542, 0.9085, 0.2500)
Hf (0.5458, 0.0915, 0.7500)
Hf (0.5458, 0.4542, 0.7500)
Hf (0.6117, 0.8058, 0.5545)
Hf (0.6117, 0.8058, 0.9455)
Hf (0.8058, 0.1942, 0.0545)
Hf (0.8058, 0.1942, 0.4455)
Hf (0.8058, 0.6117, 0.0545)
Hf (0.8058, 0.6117, 0.4455)
Hf (0.9085, 0.4542, 0.7500)
Re (0.0000, 0.0000, 0.0000)
Re (0.0000, 0.0000, 0.5000)
Re (0.1106, 0.2211, 0.2500)
Re (0.1106, 0.8894, 0.2500)
Re (0.2211, 0.1106, 0.7500)
Re (0.7789, 0.8894, 0.2500)
Re (0.8894, 0.1106, 0.7500)
Re (0.8894, 0.7789, 0.7500)
S (0.3333, 0.6667, 0.7500)
S (0.6667, 0.3333, 0.2500)

***

Q: Among the records above, which one has the lowest uncorrected energy?
A: Hf9Re4S

***

Q: The lowest uncorrected energy belongs to which entry?
A: Hf9Re4S

***

Q: Which value of uncorrected energy does entry 1 give?
A: -58.5 eV for the cell shown